1.
La2TcAs2 | PBE-GGA | optimized geometry

Summary:
For the raw total energy, the calculation gives -33.517 eV per formula unit. The value obtained for the density is 7.821 g cm⁻³. The calculation puts the energy of formation at -0.799 eV per atom.

Lattice parameters (Å, degrees): 6.8699 6.8699 4.7294 90.00 90.00 90.00
Space group P4/mbm (No. 127)
One atom of each set of equivalent atoms:
La  0.1761  0.3239  0.0000 [4 per cell]
Tc  0.0000  0.0000  0.5000 [2 per cell]
As  0.1395  0.6395  0.5000 [4 per cell]

2.
NaBeAu3 | PBE-GGA | optimized geometry

Summary:
For the raw total energy, the calculation gives -15.981 eV per formula unit. The value obtained for the density is 11.543 g cm⁻³. The calculation puts the energy of formation at -0.221 eV per atom.

Lattice parameters (Å, degrees): 6.2573 6.2573 5.2850 90.00 90.00 120.00
Space group P6_3/mmc (No. 194)
One atom of each set of equivalent atoms:
Na  0.3333  0.6667  0.2500 [2 per cell]
Be  0.0000  0.0000  0.0000 [2 per cell]
Au  0.1816  0.3631  0.7500 [6 per cell]

3.
LaCdP2 | PBE-GGA | optimized geometry

Summary:
For the raw total energy, the calculation gives -18.784 eV per formula unit. The value obtained for the density is 5.485 g cm⁻³. The calculation puts the energy of formation at -0.530 eV per atom.

Lattice parameters (Å, degrees): 7.4176 7.4176 6.8953 90.00 90.00 90.00
Space group I-42d (No. 122)
One atom of each set of equivalent atoms:
La  0.0000  0.0000  0.0000 [4 per cell]
Cd  0.0000  0.0000  0.5000 [4 per cell]
P  0.2159  0.2500  0.6250 [8 per cell]

4.
Nd2Cd2BPt4 | PBE-GGA | optimized geometry

Summary:
For the raw total energy, the calculation gives -47.946 eV per formula unit. The value obtained for the density is 12.245 g cm⁻³. The calculation puts the energy of formation at -0.638 eV per atom.

Lattice parameters (Å, degrees): 6.6921 6.6921 7.9003 90.00 90.00 90.00
Space group I4/mmm (No. 139)
One atom of each set of equivalent atoms:
Nd  0.0000  0.5000  0.2500 [4 per cell]
Cd  0.0000  0.0000  0.1803 [4 per cell]
B  0.0000  0.0000  0.5000 [2 per cell]
Pt  0.2240  0.2240  0.5000 [8 per cell]

Please write out number 1 again, unchanged.
La2TcAs2 | PBE-GGA | optimized geometry

Summary:
For the raw total energy, the calculation gives -33.517 eV per formula unit. The value obtained for the density is 7.821 g cm⁻³. The calculation puts the energy of formation at -0.799 eV per atom.

Lattice parameters (Å, degrees): 6.8699 6.8699 4.7294 90.00 90.00 90.00
Space group P4/mbm (No. 127)
One atom of each set of equivalent atoms:
La  0.1761  0.3239  0.0000 [4 per cell]
Tc  0.0000  0.0000  0.5000 [2 per cell]
As  0.1395  0.6395  0.5000 [4 per cell]

Look up the raw total energy of the fourth one. -47.946 eV per formula unit